Record 1
# LaNd2Tc, relaxed, DFT GGA-PBE
data_LaNd2Tc
_chemical_formula_sum 'La4 Nd8 Tc4'
_cell_length_a 7.409
_cell_length_b 9.797
_cell_length_c 6.655
_cell_angle_alpha 90.00
_cell_angle_beta 90.00
_cell_angle_gamma 90.00
_symmetry_space_group_name_H-M 'P 1'
_symmetry_Int_Tables_number 1
loop_
_symmetry_equiv_pos_as_xyz
'x,y,z'
loop_
_atom_site_label
_atom_site_type_symbol
_atom_site_fract_x
_atom_site_fract_y
_atom_site_fract_z
_atom_site_occupancy
La1 La 0.060 0.250 0.133 1
La2 La 0.440 0.750 0.633 1
La3 La 0.560 0.250 0.367 1
La4 La 0.940 0.750 0.867 1
Nd1 Nd 0.174 0.067 0.667 1
Nd2 Nd 0.174 0.433 0.667 1
Nd3 Nd 0.326 0.567 0.167 1
Nd4 Nd 0.326 0.933 0.167 1
Nd5 Nd 0.674 0.067 0.833 1
Nd6 Nd 0.674 0.433 0.833 1
Nd7 Nd 0.826 0.567 0.333 1
Nd8 Nd 0.826 0.933 0.333 1
Tc1 Tc 0.124 0.750 0.477 1
Tc2 Tc 0.376 0.250 0.977 1
Tc3 Tc 0.624 0.750 0.023 1
Tc4 Tc 0.876 0.250 0.523 1
# - space-group type = Pnma (62)
# - ΔE to the lowest computed polymorph (eV/atom) = 0.000
# - VASP energy (Ha/atom) = -0.2287
# - ΔH_f (0 K) (kJ/mol of formula units) = -7

=====

Record 2
# LaNd2Tc, relaxed, DFT GGA-PBE
data_LaNd2Tc
_chemical_formula_sum 'La1 Nd2 Tc1'
_cell_length_a 11.365
_cell_length_b 11.365
_cell_length_c 11.365
_cell_angle_alpha 17.89
_cell_angle_beta 17.89
_cell_angle_gamma 17.89
_symmetry_space_group_name_H-M 'P 1'
_symmetry_Int_Tables_number 1
loop_
_symmetry_equiv_pos_as_xyz
'x,y,z'
loop_
_atom_site_label
_atom_site_type_symbol
_atom_site_fract_x
_atom_site_fract_y
_atom_site_fract_z
_atom_site_occupancy
La1 La 0.000 0.000 0.000 1
Nd1 Nd 0.105 0.105 0.105 1
Nd2 Nd 0.895 0.895 0.895 1
Tc1 Tc 0.500 0.500 0.500 1
# - space-group type = R-3m (166)
# - ΔE to the lowest computed polymorph (eV/atom) = 0.356
# - VASP energy (Ha/atom) = -0.2156
# - ΔH_f (0 K) (kJ/mol of formula units) = 131

=====

Record 3
# La2Nd2Tc, relaxed, DFT GGA-PBE
data_La2Nd2Tc
_chemical_formula_sum 'La4 Nd4 Tc2'
_cell_length_a 13.605
_cell_length_b 13.605
_cell_length_c 13.605
_cell_angle_alpha 158.89
_cell_angle_beta 158.89
_cell_angle_gamma 30.02
_symmetry_space_group_name_H-M 'P 1'
_symmetry_Int_Tables_number 1
loop_
_symmetry_equiv_pos_as_xyz
'x,y,z'
loop_
_atom_site_label
_atom_site_type_symbol
_atom_site_fract_x
_atom_site_fract_y
_atom_site_fract_z
_atom_site_occupancy
La1 La 0.068 0.318 0.750 1
La2 La 0.318 0.068 0.250 1
La3 La 0.682 0.932 0.750 1
La4 La 0.932 0.682 0.250 1
Nd1 Nd 0.198 0.448 0.750 1
Nd2 Nd 0.448 0.198 0.250 1
Nd3 Nd 0.552 0.802 0.750 1
Nd4 Nd 0.802 0.552 0.250 1
Tc1 Tc 0.125 0.875 0.250 1
Tc2 Tc 0.875 0.125 0.750 1
# - space-group type = I4_1/amd (141)
# - VASP energy (Ha/atom) = -0.2142
# - ΔH_f (0 K) (kJ/mol of formula units) = 59

=====

Record 4
# La2NdTc, relaxed, DFT GGA-PBE
data_La2NdTc
_chemical_formula_sum 'La2 Nd1 Tc1'
_cell_length_a 3.564
_cell_length_b 3.564
_cell_length_c 9.364
_cell_angle_alpha 90.00
_cell_angle_beta 90.00
_cell_angle_gamma 90.00
_symmetry_space_group_name_H-M 'P 1'
_symmetry_Int_Tables_number 1
loop_
_symmetry_equiv_pos_as_xyz
'x,y,z'
loop_
_atom_site_label
_atom_site_type_symbol
_atom_site_fract_x
_atom_site_fract_y
_atom_site_fract_z
_atom_site_occupancy
La1 La 0.000 0.000 0.187 1
La2 La 0.000 0.000 0.813 1
Nd1 Nd 0.500 0.500 0.500 1
Tc1 Tc 0.500 0.500 0.000 1
# - space-group type = P4/mmm (123)
# - ΔE to the lowest computed polymorph (eV/atom) = 0.141
# - VASP energy (Ha/atom) = -0.2249
# - ΔH_f (0 K) (kJ/mol of formula units) = 49

=====

Record 5
# LaNd2Tc, relaxed, DFT GGA-PBE
data_LaNd2Tc
_chemical_formula_sum 'La1 Nd2 Tc1'
_cell_length_a 3.547
_cell_length_b 3.547
_cell_length_c 9.384
_cell_angle_alpha 90.00
_cell_angle_beta 90.00
_cell_angle_gamma 90.00
_symmetry_space_group_name_H-M 'P 1'
_symmetry_Int_Tables_number 1
loop_
_symmetry_equiv_pos_as_xyz
'x,y,z'
loop_
_atom_site_label
_atom_site_type_symbol
_atom_site_fract_x
_atom_site_fract_y
_atom_site_fract_z
_atom_site_occupancy
La1 La 0.000 0.000 0.000 1
Nd1 Nd 0.500 0.500 0.317 1
Nd2 Nd 0.500 0.500 0.683 1
Tc1 Tc 0.000 0.000 0.500 1
# - space-group type = P4/mmm (123)
# - ΔE to the lowest computed polymorph (eV/atom) = 0.157
# - VASP energy (Ha/atom) = -0.2230
# - ΔH_f (0 K) (kJ/mol of formula units) = 54

=====

Record 6
# LaNd3Tc, relaxed, DFT GGA-PBE
data_LaNd3Tc
_chemical_formula_sum 'La1 Nd3 Tc1'
_cell_length_a 5.561
_cell_length_b 5.561
_cell_length_c 5.561
_cell_angle_alpha 90.00
_cell_angle_beta 90.00
_cell_angle_gamma 90.00
_symmetry_space_group_name_H-M 'P 1'
_symmetry_Int_Tables_number 1
loop_
_symmetry_equiv_pos_as_xyz
'x,y,z'
loop_
_atom_site_label
_atom_site_type_symbol
_atom_site_fract_x
_atom_site_fract_y
_atom_site_fract_z
_atom_site_occupancy
La1 La 0.000 0.000 0.000 1
Nd1 Nd 0.000 0.500 0.500 1
Nd2 Nd 0.500 0.000 0.500 1
Nd3 Nd 0.500 0.500 0.000 1
Tc1 Tc 0.500 0.500 0.500 1
# - space-group type = Pm-3m (221)
# - ΔE to the lowest computed polymorph (eV/atom) = 0.156
# - VASP energy (Ha/atom) = -0.2107
# - ΔH_f (0 K) (kJ/mol of formula units) = 90

=====

What did the sixth record say?
# LaNd3Tc, relaxed, DFT GGA-PBE
data_LaNd3Tc
_chemical_formula_sum 'La1 Nd3 Tc1'
_cell_length_a 5.561
_cell_length_b 5.561
_cell_length_c 5.561
_cell_angle_alpha 90.00
_cell_angle_beta 90.00
_cell_angle_gamma 90.00
_symmetry_space_group_name_H-M 'P 1'
_symmetry_Int_Tables_number 1
loop_
_symmetry_equiv_pos_as_xyz
'x,y,z'
loop_
_atom_site_label
_atom_site_type_symbol
_atom_site_fract_x
_atom_site_fract_y
_atom_site_fract_z
_atom_site_occupancy
La1 La 0.000 0.000 0.000 1
Nd1 Nd 0.000 0.500 0.500 1
Nd2 Nd 0.500 0.000 0.500 1
Nd3 Nd 0.500 0.500 0.000 1
Tc1 Tc 0.500 0.500 0.500 1
# - space-group type = Pm-3m (221)
# - ΔE to the lowest computed polymorph (eV/atom) = 0.156
# - VASP energy (Ha/atom) = -0.2107
# - ΔH_f (0 K) (kJ/mol of formula units) = 90